Entry i
## NaTcBr3 (GGA-PBE)

Data for a geometry-optimized NaTcBr3 structure.

a b c (Å): 5.297 5.297 5.297
angles (deg): 90.00 90.00 90.00
Positions (direct):
Na1 0.000 0.000 0.000
Tc1 0.500 0.500 0.500
Br1 0.000 0.000 0.500
Br2 0.000 0.500 0.000
Br3 0.500 0.000 0.000

total magnetic moment: 5.00 μB/f.u.
mass density: 4.031 Mg/m³

=====

Entry ii
## NaTcBr3 (GGA-PBE)

Data for a geometry-optimized NaTcBr3 structure.

a b c (Å): 5.103 7.935 9.510
angles (deg): 75.69 89.52 71.36
Positions (direct):
Na1 0.000 0.000 0.000
Na2 0.480 0.031 0.260
Tc1 0.489 0.515 0.630
Tc2 0.991 0.515 0.630
Br1 0.232 0.538 0.397
Br2 0.248 0.491 0.863
Br3 0.576 0.846 0.034
Br4 0.591 0.814 0.591
Br5 0.888 0.215 0.669
Br6 0.904 0.185 0.226

total magnetic moment: 1.02 μB/f.u.
mass density: 3.398 Mg/m³

=====

Entry iii
## NaTcBr3 (GGA-PBE)

Data for a geometry-optimized NaTcBr3 structure.

a b c (Å): 5.260 5.260 5.260
angles (deg): 90.00 90.00 90.00
Positions (direct):
Na1 0.000 0.000 0.000
Tc1 0.500 0.500 0.500
Br1 0.000 0.500 0.500
Br2 0.500 0.000 0.500
Br3 0.500 0.500 0.000

total magnetic moment: 3.18 μB/f.u.
mass density: 4.115 Mg/m³

=====

Which structure loses on stability? entry i does.